Material: MnS2IO8
Method: DFT, PBE with a Hubbard U
State: optimized geometry

a = 5.3425 Å, b = 5.3425 Å, c = 7.2681 Å
α = 90.00°, β = 90.00°, γ = 120.00°
With the nearest neighbours (Å) after each atom.
Element x y z (fractional)
Mn (0.0000, 0.0000, 0.0000)  6 O 2.18
S (0.3333, 0.6667, 0.7363)  4 O 1.47-1.50
S (0.6667, 0.3333, 0.2637)  4 O 1.47-1.50
I (0.0000, 0.0000, 0.5000)  12 O 2.79-3.09
O (0.1811, 0.3622, 0.8075)  1 S 1.50
O (0.1811, 0.8189, 0.8075)  1 S 1.50
O (0.3333, 0.6667, 0.5345)  1 S 1.47
O (0.3622, 0.1811, 0.1925)  1 S 1.50
O (0.6378, 0.8189, 0.8075)  1 S 1.50
O (0.6667, 0.3333, 0.4655)  1 S 1.47
O (0.8189, 0.1811, 0.1925)  1 S 1.50
O (0.8189, 0.6378, 0.1925)  1 S 1.50

Summary:
Its space-group type is P-3m1 (164). Its total energy is -5.7617 eV per atom.